A relaxed structure of TeAs2Cl, computed with PBE.

POSCAR file:
```
TeAs2Cl
1.0
-2.776 1.671 -7.778
-5.493 -0.420 -6.376
-5.379 3.208 -5.637
As Te Cl
2 1 1
Direct
0.005 0.005 0.005
0.495 0.495 0.495
0.750 0.750 0.750
0.250 0.250 0.250
```

Calculated values
- DOS(E_F) (states/eV/atom) = 0.7781
- energy above the most stable polymorph in this dataset (meV per atom) = 383

=====

A relaxed structure of TeMo2OsBr, computed with PBE.

POSCAR file:
```
TeMo2OsBr
1.0
5.239 0.000 0.000
0.000 4.840 0.000
0.000 0.000 5.239
Mo Te Os Br
2 1 1 1
Direct
0.000 0.000 0.500
0.500 0.000 0.000
0.000 0.000 0.000
0.000 0.500 0.000
0.500 0.500 0.500
```

Calculated values
- DOS(E_F) (states/eV/atom) = 1.0488
- E (hartree per atom) = -0.197

=====

A relaxed structure of ScSnS2Cl, computed with PBE.

POSCAR file:
```
ScSnS2Cl
1.0
-3.517 0.088 3.582
2.050 -4.067 2.113
2.816 2.821 2.696
Sc S Sn Cl
1 2 1 1
Direct
0.000 0.000 0.000
0.000 0.500 0.000
0.500 0.000 0.000
0.500 0.500 0.500
0.000 0.000 0.500
```

Calculated values
- DOS(E_F) (states/eV/atom) = 0.0255
- energy above the most stable polymorph in this dataset (meV per atom) = 0

=====

A relaxed structure of MgSe3F, computed with PBE.

POSCAR file:
```
MgSe3F
1.0
4.966 0.000 0.000
0.000 4.966 0.000
0.000 0.000 4.966
Mg Se F
1 3 1
Direct
0.000 0.000 0.000
0.000 0.500 0.000
0.000 0.000 0.500
0.500 0.000 0.000
0.500 0.500 0.500
```

Calculated values
- DOS(E_F) (states/eV/atom) = 1.1276
- energy above the most stable polymorph in this dataset (meV per atom) = 132

=====

A relaxed structure of Cs3SnI4, computed with PBE.

POSCAR file:
```
Cs3SnI4
1.0
-3.644 -6.585 -0.893
9.382 -5.566 2.761
-3.459 0.251 12.259
Cs Sn I
6 2 8
Direct
0.559 0.915 0.000
0.057 0.648 0.212
0.557 0.352 0.288
0.059 0.085 0.500
0.557 0.352 0.712
0.057 0.648 0.788
0.030 0.301 0.000
0.530 0.699 0.500
0.059 0.876 0.000
0.641 0.262 0.000
0.056 0.307 0.255
0.556 0.693 0.245
0.141 0.738 0.500
0.559 0.124 0.500
0.556 0.693 0.755
0.056 0.307 0.745
```

Calculated values
- E (hartree per atom) = -0.098

=====

A relaxed structure of YFeCo3B, computed with PBE.

POSCAR file:
```
YFeCo3B
1.0
2.526 -4.376 0.000
2.526 4.376 0.000
0.000 0.000 6.796
Y Fe Co B
2 2 6 2
Direct
0.000 0.000 0.000
0.000 0.000 0.500
0.667 0.333 0.000
0.333 0.667 0.000
0.500 0.500 0.712
0.500 0.000 0.712
0.000 0.500 0.712
0.500 0.500 0.288
0.500 0.000 0.288
0.000 0.500 0.288
0.667 0.333 0.500
0.333 0.667 0.500
```

Calculated values
- formation enthalpy at 0 K (eV/f.u.) = -1.9
- DOS(E_F) (states/eV/atom) = 1.0965

=====

A relaxed structure of SrNiPt2, computed with PBE.

POSCAR file:
```
SrNiPt2
1.0
-4.015 0.534 1.240
-1.239 -2.742 -2.830
0.446 -3.045 2.755
Ni Pt Sr
1 2 1
Direct
0.500 0.000 0.500
0.000 0.000 0.000
0.000 0.500 0.500
0.500 0.500 0.000
```

Calculated values
- formation enthalpy at 0 K (eV/f.u.) = -0.5
- DOS(E_F) (states/eV/atom) = 1.0041